The following is a DFT calculation (PBE) of an optimized crystal structure of Ho4Er8Sc3.

```
Ho4Er8Sc3
1.0
6.5284 -6.2214 0.0000
6.5284 6.2214 0.0000
-3.3157 0.0000 5.6928
Ho Er Sc
4 8 3
Direct
0.0000 0.0000 0.0000
0.0000 0.0000 0.5000
0.0000 0.5000 0.0000
0.5000 0.0000 0.0000
0.2582 0.7418 0.5000
0.2709 0.2709 0.5188
0.2770 0.2770 0.0085
0.3553 0.6447 0.0000
0.6447 0.3553 0.0000
0.7230 0.7230 0.9915
0.7291 0.7291 0.4812
0.7418 0.2582 0.5000
0.0000 0.5000 0.5000
0.5000 0.0000 0.5000
0.5000 0.5000 0.5000
```

Results
Raw total energy in eV per atom: -4.523
DFT formation energy in kJ/mol of formula units: 576
Magnetic moment in μB/cell: 0.04
Symmetry: C2/m, No. 12